# RbMoRuO6 | Alexandria via LeMat-Bulk | PBE with a Hubbard U | relaxed
data_RbMoRuO6
_space_group_name_H-M_alt 'P 1'
_space_group_IT_number 1
_space_group_name_Hall 'P 1'
_cell_length_a 5.2926
_cell_length_b 5.2926
_cell_length_c 6.3327
_cell_angle_alpha 90.00
_cell_angle_beta 90.00
_cell_angle_gamma 120.00
loop_
_atom_site_label
_atom_site_fract_x
_atom_site_fract_y
_atom_site_fract_z
_atom_site_occupancy
Rb1 0.0000 0.0000 0.0000 1
Mo1 0.3333 0.6667 0.5176 1
Ru1 0.6667 0.3333 0.4697 1
O1 0.0021 0.3830 0.6616 1
O2 0.0057 0.6059 0.3156 1
O3 0.3808 0.9979 0.6616 1
O4 0.3941 0.3998 0.3156 1
O5 0.6002 0.9943 0.3156 1
O6 0.6170 0.6192 0.6616 1
# E ... -6.574 eV/atom
# Density of states at the Fermi level ... 0.16 states/eV/cell